No. 1
VASP calculation (PBE) on a relaxed structure of Y2SiGeAu2.

Cell: 11.264 4.601 11.268 Å, 90.00 109.46 90.00°
Atoms (fractional coordinates):
1 Y 0.249 0.500 0.497
2 Y 0.625 0.000 0.625
3 Si 0.751 0.500 0.502
4 Ge 0.126 0.000 0.625
5 Ge 0.375 0.000 0.375
6 Y 0.123 0.000 0.121
7 Y 0.876 0.000 0.378
8 Au 0.375 0.000 0.126
9 Si 0.999 0.500 0.249
10 Au 0.873 0.000 0.628
11 Y 0.747 0.500 0.001
12 Au 0.626 0.000 0.871
13 Si 0.500 0.500 0.750
14 Au 0.255 0.500 0.749
15 Si 0.874 0.000 0.875
16 Y 0.002 0.500 0.750
17 Au 0.755 0.500 0.255
18 Au 0.994 0.500 0.999
19 Au 0.503 0.500 0.504
20 Ge 0.626 0.000 0.126
21 Ge 0.250 0.500 0.000
22 Y 0.377 0.000 0.875
23 Y 0.502 0.500 0.252
24 Au 0.120 0.000 0.369

Output
excess energy over the best structure of this formula in the dataset = 0.123 eV per atom

No. 2
VASP calculation (PBE) on a relaxed structure of Y2SiGeAu2.

Cell: 4.410 4.410 7.467 Å, 90.00 90.00 120.00°
Atoms (fractional coordinates):
1 Y 0.000 0.000 0.502
2 Au 0.333 0.667 0.770
3 Ge 0.333 0.667 0.210
4 Au 0.667 0.333 0.284
5 Si 0.667 0.333 0.716
6 Y 0.000 0.000 0.000

Output
excess energy over the best structure of this formula in the dataset = 0.000 eV per atom

No. 3
VASP calculation (PBE) on a relaxed structure of Y2SiGeAu2.

Cell: 4.358 4.358 7.759 Å, 90.00 90.00 120.00°
Atoms (fractional coordinates):
1 Ge 0.000 0.000 0.000
2 Si 0.333 0.667 0.500
3 Au 0.333 0.667 0.000
4 Y 0.667 0.333 0.252
5 Y 0.667 0.333 0.748
6 Au 0.000 0.000 0.500

Output
excess energy over the best structure of this formula in the dataset = 0.018 eV per atom

No. 4
VASP calculation (PBE) on a relaxed structure of TbSmGe2Au2.

Cell: 4.496 4.496 7.459 Å, 90.00 90.00 120.00°
Atoms (fractional coordinates):
1 Sm 0.000 0.000 0.503
2 Ge 0.667 0.333 0.715
3 Tb 0.000 0.000 0.002
4 Ge 0.333 0.667 0.208
5 Au 0.333 0.667 0.795
6 Au 0.667 0.333 0.279

No. 5
VASP calculation (PBE) on a relaxed structure of Tb2SmGe4Au4.

Cell: 13.286 13.286 13.286 Å, 161.97 161.09 26.25°
Atoms (fractional coordinates):
1 Au 0.094 0.594 0.500
2 Au 0.906 0.406 0.500
3 Au 0.253 0.253 0.000
4 Ge 0.548 0.548 0.000
5 Tb 0.649 0.149 0.500
6 Ge 0.811 0.311 0.500
7 Tb 0.351 0.851 0.500
8 Au 0.747 0.747 0.000
9 Sm 0.000 0.000 0.000
10 Ge 0.452 0.452 0.000
11 Ge 0.189 0.689 0.500

No. 6
VASP calculation (PBE) on a relaxed structure of SmGeTe3Au.

Cell: 7.767 7.767 11.446 Å, 90.00 90.00 148.73°
Atoms (fractional coordinates):
1 Sm 0.000 0.000 0.000
2 Te 0.652 0.348 0.442
3 Ge 0.822 0.178 0.750
4 Te 0.093 0.907 0.750
5 Au 0.467 0.533 0.750
6 Te 0.348 0.652 0.558
7 Ge 0.178 0.822 0.250
8 Te 0.907 0.093 0.250
9 Sm 0.000 0.000 0.500
10 Te 0.348 0.652 0.942
11 Te 0.652 0.348 0.058
12 Au 0.533 0.467 0.250

Output
excess energy over the best structure of this formula in the dataset = 0.007 eV per atom

No. 7
VASP calculation (PBE) on a relaxed structure of SmGeTe3Au.

Cell: 4.472 12.354 13.280 Å, 90.00 90.00 90.00°
Atoms (fractional coordinates):
1 Au 0.750 0.267 0.793
2 Te 0.750 0.056 0.596
3 Te 0.250 0.873 0.050
4 Te 0.250 0.172 0.188
5 Te 0.250 0.556 0.904
6 Te 0.250 0.627 0.550
7 Te 0.750 0.672 0.312
8 Sm 0.250 0.300 0.968
9 Te 0.750 0.828 0.812
10 Te 0.750 0.373 0.450
11 Sm 0.750 0.800 0.532
12 Au 0.250 0.733 0.207
13 Au 0.250 0.767 0.707
14 Te 0.750 0.444 0.096
15 Ge 0.750 0.606 0.765
16 Te 0.250 0.328 0.688
17 Ge 0.250 0.394 0.235
18 Te 0.750 0.127 0.950
19 Te 0.250 0.944 0.404
20 Sm 0.250 0.200 0.468
21 Ge 0.750 0.894 0.265
22 Au 0.750 0.233 0.293
23 Sm 0.750 0.700 0.032
24 Ge 0.250 0.106 0.735

Output
excess energy over the best structure of this formula in the dataset = 0.000 eV per atom

No. 8
VASP calculation (PBE) on a relaxed structure of Sn3Ge2Au2.

Cell: 8.985 8.985 8.985 Å, 30.68 30.68 30.68°
Atoms (fractional coordinates):
1 Au 0.010 0.010 0.010
2 Sn 0.625 0.625 0.625
3 Au 0.495 0.495 0.495
4 Ge 0.751 0.751 0.751
5 Ge 0.247 0.247 0.247
6 Sn 0.384 0.384 0.384
7 Sn 0.863 0.863 0.863

No. 9
VASP calculation (PBE) on a relaxed structure of SrSnGeAu2.

Cell: 4.611 4.611 11.240 Å, 90.00 90.00 90.00°
Atoms (fractional coordinates):
1 Au 0.000 0.000 0.000
2 Ge 0.500 0.000 0.879
3 Sn 0.000 0.000 0.500
4 Au 0.500 0.500 0.000
5 Au 0.000 0.500 0.346
6 Sn 0.500 0.500 0.500
7 Au 0.500 0.000 0.654
8 Sr 0.000 0.500 0.769
9 Ge 0.000 0.500 0.121
10 Sr 0.500 0.000 0.231

No. 10
VASP calculation (PBE) on a relaxed structure of Y2SnGeAu2.

Cell: 11.513 4.706 11.521 Å, 90.00 109.47 90.00°
Atoms (fractional coordinates):
1 Au 0.121 0.500 0.372
2 Au 0.374 0.500 0.125
3 Ge 0.501 0.000 0.749
4 Y 0.627 0.500 0.628
5 Au 0.504 0.000 0.506
6 Y 0.505 0.000 0.255
7 Au 0.997 0.000 0.999
8 Y 0.994 0.000 0.750
9 Au 0.251 0.000 0.749
10 Y 0.751 0.000 0.997
11 Y 0.875 0.500 0.377
12 Ge 0.873 0.500 0.874
13 Sn 0.250 0.000 0.000
14 Sn 0.375 0.500 0.375
15 Ge 0.999 0.000 0.250
16 Au 0.755 0.000 0.252
17 Y 0.250 0.000 0.498
18 Au 0.628 0.500 0.873
19 Au 0.872 0.500 0.625
20 Y 0.379 0.500 0.872
21 Sn 0.626 0.500 0.126
22 Sn 0.125 0.500 0.625
23 Y 0.118 0.500 0.123
24 Ge 0.750 0.000 0.501

No. 11
VASP calculation (PBE) on a relaxed structure of SrGeAu.

Cell: 4.559 4.559 4.203 Å, 90.00 90.00 120.00°
Atoms (fractional coordinates):
1 Sr 0.000 0.000 0.500
2 Ge 0.667 0.333 0.000
3 Au 0.333 0.667 0.000

No. 12
VASP calculation (PBE) on a relaxed structure of Sr2GeAu2.

Cell: 3.908 3.908 9.503 Å, 101.87 101.87 90.00°
Atoms (fractional coordinates):
1 Ge 0.000 0.000 0.000
2 Au 0.750 0.250 0.500
3 Sr 0.604 0.604 0.209
4 Au 0.250 0.750 0.500
5 Sr 0.395 0.395 0.791

Number 1: total energy -135.0 eV per cell. Number 2: total energy -34.5 eV per cell. Number 3: total energy -34.4 eV per cell. Number 4: total energy -30.2 eV per cell. Number 5: total energy -52.8 eV per cell. Number 6: total energy -50.9 eV per cell. Number 7: total energy -102.1 eV per cell. Number 8: total energy -26.8 eV per cell. Number 9: total energy -39.1 eV per cell. Number 10: total energy -131.6 eV per cell. Number 11: total energy -11.6 eV per cell. Number 12: total energy -17.0 eV per cell.